No. 1
Here is a relaxed structure of NaAuO2 from Alexandria via LeMat-Bulk. Energies are from PBE-GGA.

Cell lengths 5.973, 5.973, 5.981 Å; angles 90.00, 90.00, 143.11 degrees
Fractional coordinates of all 8 atoms:
1 Na 0.213 0.787 0.750
2 Na 0.787 0.213 0.250
3 Au 0.497 0.503 0.750
4 Au 0.503 0.497 0.250
5 O 0.378 0.622 0.007
6 O 0.378 0.622 0.493
7 O 0.622 0.378 0.507
8 O 0.622 0.378 0.993

* crystal system: orthorhombic
* V: 128.1 Å³/cell
* E_tot: -4.359 eV/atom
* uncorrected formation energy: -731 meV/atom


No. 2
Here is a relaxed structure of Na2Au2O5 from Alexandria via LeMat-Bulk. Energies are from PBE-GGA.

Cell lengths 6.698, 6.698, 5.881 Å; angles 111.03, 111.03, 34.05 degrees
Fractional coordinates of all 9 atoms:
1 Na 0.129 0.129 0.294
2 Na 0.871 0.871 0.706
3 Au 0.404 0.404 0.210
4 Au 0.596 0.596 0.790
5 O 0.102 0.102 0.867
6 O 0.329 0.329 0.438
7 O 0.500 0.500 0.000
8 O 0.671 0.671 0.562
9 O 0.898 0.898 0.133

* crystal system: monoclinic
* V: 136.9 Å³/cell
* E_tot: -4.123 eV/atom
* uncorrected formation energy: -347 meV/atom


No. 3
Here is a relaxed structure of NaAuO from Alexandria via LeMat-Bulk. Energies are from PBE-GGA.

Cell lengths 6.337, 6.337, 4.562 Å; angles 90.00, 90.00, 90.00 degrees
Fractional coordinates of all 12 atoms:
1 Na 0.000 0.242 0.000
2 Na 0.000 0.758 0.000
3 Na 0.242 0.000 0.500
4 Na 0.758 0.000 0.500
5 Au 0.285 0.500 0.500
6 Au 0.500 0.285 0.000
7 Au 0.500 0.715 0.000
8 Au 0.715 0.500 0.500
9 O 0.000 0.288 0.500
10 O 0.000 0.712 0.500
11 O 0.288 0.000 0.000
12 O 0.712 0.000 0.000

* crystal system: tetragonal
* V: 183.2 Å³/cell
* E_tot: -3.743 eV/atom
* uncorrected formation energy: -558 meV/atom


Q: Which of these has the highest V?
A: NaAuO